Record 1
# SmTm2Pb3

SmTm2Pb3 after structural relaxation (GGA-PBE, the Alexandria database).

Computed properties:
- crystal system = monoclinic
- DOS(E_F) (states/eV/cell) = 5.21
- formation energy (eV/f.u.) = -2.828
- offset from the most stable computed form (meV/atom) = 0

a b c (Å): 9.039 9.039 6.393
angles (deg): 100.10 100.10 41.52
Fractional positions:
Sm 0.127 0.873 0.750
Sm 0.873 0.127 0.250
Tm 0.210 0.457 0.922
Tm 0.457 0.210 0.422
Tm 0.543 0.790 0.578
Tm 0.790 0.543 0.078
Pb 0.046 0.293 0.587
Pb 0.293 0.046 0.087
Pb 0.375 0.625 0.250
Pb 0.625 0.375 0.750
Pb 0.707 0.954 0.913
Pb 0.954 0.707 0.413

---

Record 2
# LiTcBr2

LiTcBr2 after structural relaxation (GGA-PBE, the Alexandria database).

Computed properties:
- crystal system = tetragonal
- DOS(E_F) (states/eV/cell) = 0.66
- E_form (uncorrected) (eV per atom) = -0.104
- offset from the most stable computed form (meV/atom) = 0

a b c (Å): 3.298 3.298 7.561
angles (deg): 90.00 90.00 90.00
Fractional positions:
Li 0.000 0.000 0.000
Tc 0.500 0.500 0.245
Br 0.000 0.000 0.406
Br 0.500 0.500 0.888

---

Record 3
# CaAu

CaAu after structural relaxation (GGA-PBE, the Alexandria database).

Computed properties:
- crystal system = hexagonal
- DOS(E_F) (states/eV/cell) = 9.14
- formation energy (eV/f.u.) = -1.284

a b c (Å): 9.074 9.074 4.790
angles (deg): 90.00 90.00 120.00
Fractional positions:
Ca 0.195 0.389 0.250
Ca 0.195 0.805 0.250
Ca 0.389 0.195 0.750
Ca 0.611 0.805 0.250
Ca 0.805 0.195 0.750
Ca 0.805 0.611 0.750
Au 0.114 0.557 0.750
Au 0.443 0.557 0.750
Au 0.443 0.886 0.750
Au 0.557 0.114 0.250
Au 0.557 0.443 0.250
Au 0.886 0.443 0.250

---

Record 4
# Mn2SiIrS

Mn2SiIrS after structural relaxation (GGA-PBE, the Alexandria database).

Computed properties:
- crystal system = tetragonal
- DOS(E_F) (states/eV/cell) = 2.28
- E_form (uncorrected) (eV per atom) = -0.189
- offset from the most stable computed form (meV/atom) = 99

a b c (Å): 7.539 7.539 7.539
angles (deg): 157.44 157.44 32.12
Fractional positions:
Mn 0.000 0.000 0.000
Mn 0.393 0.393 0.000
Si 0.803 0.803 0.000
Ir 0.209 0.209 0.000
S 0.562 0.562 0.000

---

Record 5
# Pd2PbS

Pd2PbS after structural relaxation (GGA-PBE, the Alexandria database).

Computed properties:
- crystal system = tetragonal
- DOS(E_F) (states/eV/cell) = 0.00
- E_form (uncorrected) (eV per atom) = -0.256
- offset from the most stable computed form (meV/atom) = 0

a b c (Å): 8.084 8.084 8.084
angles (deg): 143.99 143.99 51.84
Fractional positions:
Pd 0.010 0.625 0.885
Pd 0.375 0.260 0.385
Pd 0.740 0.125 0.115
Pd 0.875 0.990 0.615
Pb 0.250 0.750 0.500
Pb 0.500 0.500 0.000
S 0.000 0.000 0.000
S 0.750 0.250 0.500

---

Record 6
# La3HoHg4

La3HoHg4 after structural relaxation (GGA-PBE, the Alexandria database).

Computed properties:
- crystal system = tetragonal
- DOS(E_F) (states/eV/cell) = 9.42
- formation energy (eV/f.u.) = -3.918

a b c (Å): 3.823 3.823 15.721
angles (deg): 90.00 90.00 90.00
Fractional positions:
La 0.000 0.000 0.000
La 0.000 0.000 0.257
La 0.000 0.000 0.743
Ho 0.000 0.000 0.500
Hg 0.500 0.500 0.127
Hg 0.500 0.500 0.391
Hg 0.500 0.500 0.609
Hg 0.500 0.500 0.873

---

Record 7
# BaPbS2Cl

BaPbS2Cl after structural relaxation (GGA-PBE, the Alexandria database).

Computed properties:
- crystal system = tetragonal
- DOS(E_F) (states/eV/cell) = 4.50
- E_form (uncorrected) (eV per atom) = -0.405
- offset from the most stable computed form (meV/atom) = 642

a b c (Å): 5.748 5.748 5.681
angles (deg): 90.00 90.00 90.00
Fractional positions:
Ba 0.000 0.000 0.000
Pb 0.500 0.500 0.500
S 0.000 0.500 0.000
S 0.500 0.000 0.000
Cl 0.000 0.000 0.500

---

Record 8
# Dy4CdAg

Dy4CdAg after structural relaxation (GGA-PBE, the Alexandria database).

Computed properties:
- crystal system = monoclinic
- DOS(E_F) (states/eV/cell) = 11.15
- formation energy (eV/f.u.) = -0.259
- offset from the most stable computed form (meV/atom) = 140

a b c (Å): 6.173 9.266 6.111
angles (deg): 90.00 108.36 90.00
Fractional positions:
Dy 0.096 0.164 0.103
Dy 0.096 0.336 0.603
Dy 0.396 0.660 0.913
Dy 0.396 0.840 0.413
Dy 0.604 0.160 0.587
Dy 0.604 0.340 0.087
Dy 0.904 0.664 0.397
Dy 0.904 0.836 0.897
Cd 0.500 0.000 0.000
Cd 0.500 0.500 0.500
Ag 0.000 0.000 0.500
Ag 0.000 0.500 0.000

---

Record 9
# Mo3W

Mo3W after structural relaxation (GGA-PBE, the Alexandria database).

Computed properties:
- crystal system = trigonal
- DOS(E_F) (states/eV/cell) = 2.92
- formation energy (eV/f.u.) = -0.052
- offset from the most stable computed form (meV/atom) = 7

a b c (Å): 5.254 5.254 5.254
angles (deg): 117.03 117.03 117.03
Fractional positions:
Mo 0.000 0.500 0.500
Mo 0.500 0.000 0.500
Mo 0.500 0.500 0.000
W 0.000 0.000 0.000

---

Record 10
# KTmAgBr5

KTmAgBr5 after structural relaxation (GGA-PBE, the Alexandria database).

Computed properties:
- crystal system = monoclinic
- DOS(E_F) (states/eV/cell) = 0.00
- E_form (uncorrected) (eV per atom) = -1.449

a b c (Å): 7.908 7.908 10.565
angles (deg): 102.20 102.20 109.60
Fractional positions:
K 0.150 0.850 0.750
K 0.850 0.150 0.250
Tm 0.500 0.500 0.000
Tm 0.500 0.500 0.500
Ag 0.189 0.811 0.250
Ag 0.811 0.189 0.750
Br 0.133 0.249 0.943
Br 0.192 0.581 0.405
Br 0.249 0.133 0.443
Br 0.419 0.808 0.095
Br 0.425 0.575 0.750
Br 0.575 0.425 0.250
Br 0.581 0.192 0.905
Br 0.751 0.867 0.557
Br 0.808 0.419 0.595
Br 0.867 0.751 0.057

---

Record 11
# PRuRh2

PRuRh2 after structural relaxation (GGA-PBE, the Alexandria database).

Computed properties:
- crystal system = trigonal
- DOS(E_F) (states/eV/cell) = 3.57
- formation energy (eV/f.u.) = -0.407

a b c (Å): 8.269 8.269 8.269
angles (deg): 19.44 19.44 19.44
Fractional positions:
P 0.000 0.000 0.000
Ru 0.500 0.500 0.500
Rh 0.260 0.260 0.260
Rh 0.740 0.740 0.740

---

Record 12
# UAg3Rh2S6

UAg3Rh2S6 after structural relaxation (GGA-PBE, the Alexandria database).

Computed properties:
- crystal system = monoclinic
- DOS(E_F) (states/eV/cell) = 6.59
- E_form (uncorrected) (eV per atom) = -0.523

a b c (Å): 6.146 6.146 6.893
angles (deg): 95.23 95.23 119.74
Fractional positions:
U 0.000 0.000 0.000
Ag 0.137 0.863 0.500
Ag 0.500 0.500 0.500
Ag 0.863 0.137 0.500
Rh 0.333 0.667 0.000
Rh 0.667 0.333 0.000
S 0.040 0.407 0.213
S 0.325 0.325 0.793
S 0.407 0.040 0.213
S 0.593 0.960 0.787
S 0.675 0.675 0.207
S 0.960 0.593 0.787

---

Record 13
# Tb19Ho4Tm6

Tb19Ho4Tm6 after structural relaxation (GGA-PBE, the Alexandria database).

Computed properties:
- crystal system = cubic
- DOS(E_F) (states/eV/cell) = 45.29
- formation energy (eV/f.u.) = 11.340

a b c (Å): 10.741 10.741 10.741
angles (deg): 109.47 109.47 109.47
Fractional positions:
Tb 0.000 0.000 0.000
Tb 0.000 0.263 0.263
Tb 0.000 0.737 0.737
Tb 0.014 0.215 0.673
Tb 0.201 0.986 0.659
Tb 0.215 0.673 0.014
Tb 0.263 0.000 0.263
Tb 0.263 0.263 0.000
Tb 0.327 0.541 0.341
Tb 0.341 0.327 0.541
Tb 0.459 0.785 0.799
Tb 0.541 0.341 0.327
Tb 0.659 0.201 0.986
Tb 0.673 0.014 0.215
Tb 0.737 0.000 0.737
Tb 0.737 0.737 0.000
Tb 0.785 0.799 0.459
Tb 0.799 0.459 0.785
Tb 0.986 0.659 0.201
Ho 0.000 0.000 0.357
Ho 0.000 0.357 0.000
Ho 0.357 0.000 0.000
Ho 0.643 0.643 0.643
Tm 0.127 0.500 0.627
Tm 0.373 0.873 0.500
Tm 0.500 0.373 0.873
Tm 0.500 0.627 0.127
Tm 0.627 0.127 0.500
Tm 0.873 0.500 0.373

---

Record 14
# CsCd

CsCd after structural relaxation (GGA-PBE, the Alexandria database).

Computed properties:
- crystal system = cubic
- DOS(E_F) (states/eV/cell) = 8.95
- formation energy (eV/f.u.) = 0.248

a b c (Å): 9.923 9.923 9.923
angles (deg): 109.47 109.47 109.47
Fractional positions:
Cs 0.000 0.000 0.418
Cs 0.000 0.418 0.000
Cs 0.418 0.000 0.000
Cs 0.582 0.582 0.582
Cd 0.000 0.000 0.808
Cd 0.000 0.808 0.000
Cd 0.192 0.192 0.192
Cd 0.808 0.000 0.000

---

Record 15
# Ce2HoReN5

Ce2HoReN5 after structural relaxation (GGA-PBE, the Alexandria database).

Computed properties:
- crystal system = tetragonal
- DOS(E_F) (states/eV/cell) = 17.75
- E_form (uncorrected) (eV per atom) = -1.011

a b c (Å): 7.431 7.431 7.431
angles (deg): 127.44 127.44 77.53
Fractional positions:
Ce 0.172 0.672 0.844
Ce 0.328 0.172 0.500
Ce 0.672 0.828 0.500
Ce 0.828 0.328 0.156
Ho 0.250 0.250 0.000
Ho 0.750 0.750 0.000
Re 0.250 0.750 0.500
Re 0.750 0.250 0.500
N 0.000 0.000 0.000
N 0.009 0.200 0.500
N 0.200 0.700 0.191
N 0.300 0.491 0.500
N 0.491 0.991 0.191
N 0.500 0.500 0.000
N 0.509 0.009 0.809
N 0.700 0.509 0.500
N 0.800 0.300 0.809
N 0.991 0.800 0.500

---

Record 16
# Ta2NiPb

Ta2NiPb after structural relaxation (GGA-PBE, the Alexandria database).

Computed properties:
- crystal system = orthorhombic
- DOS(E_F) (states/eV/cell) = 3.15
- formation energy (eV/f.u.) = 1.372

a b c (Å): 2.992 3.925 6.133
angles (deg): 90.00 90.00 90.00
Fractional positions:
Ta 0.000 0.000 0.214
Ta 0.000 0.000 0.786
Ni 0.500 0.500 0.000
Pb 0.500 0.500 0.500

---

Record 17
# HoTmZnRu

HoTmZnRu after structural relaxation (GGA-PBE, the Alexandria database).

Computed properties:
- crystal system = tetragonal
- DOS(E_F) (states/eV/cell) = 2.34
- formation energy (eV/f.u.) = -1.772
- offset from the most stable computed form (meV/atom) = 0

a b c (Å): 3.413 3.413 7.173
angles (deg): 90.00 90.00 90.00
Fractional positions:
Ho 0.000 0.000 0.000
Tm 0.000 0.000 0.458
Zn 0.500 0.500 0.725
Ru 0.500 0.500 0.232

---

Record 18
# Ca2YPb

Ca2YPb after structural relaxation (GGA-PBE, the Alexandria database).

Computed properties:
- crystal system = tetragonal
- DOS(E_F) (states/eV/cell) = 3.87
- formation energy (eV/f.u.) = -0.787

a b c (Å): 3.679 3.679 9.899
angles (deg): 90.00 90.00 90.00
Fractional positions:
Ca 0.000 0.000 0.218
Ca 0.000 0.000 0.782
Y 0.500 0.500 0.500
Pb 0.500 0.500 0.000

---

Record 19
# NaCaBiBr6

NaCaBiBr6 after structural relaxation (GGA-PBE, the Alexandria database).

Computed properties:
- crystal system = trigonal
- DOS(E_F) (states/eV/cell) = 0.00
- E_form (uncorrected) (eV per atom) = -1.352

a b c (Å): 7.376 7.376 13.452
angles (deg): 90.00 90.00 120.00
Fractional positions:
Na 0.000 0.000 0.000
Na 0.000 0.000 0.500
Ca 0.333 0.667 0.250
Ca 0.667 0.333 0.750
Bi 0.333 0.667 0.750
Bi 0.667 0.333 0.250
Br 0.003 0.352 0.628
Br 0.003 0.650 0.872
Br 0.350 0.352 0.872
Br 0.350 0.997 0.628
Br 0.352 0.003 0.128
Br 0.352 0.350 0.372
Br 0.648 0.650 0.628
Br 0.648 0.997 0.872
Br 0.650 0.003 0.372
Br 0.650 0.648 0.128
Br 0.997 0.350 0.128
Br 0.997 0.648 0.372

---

Record 20
# AgPtW2

AgPtW2 after structural relaxation (GGA-PBE, the Alexandria database).

Computed properties:
- crystal system = orthorhombic
- DOS(E_F) (states/eV/cell) = 3.59
- formation energy (eV/f.u.) = 1.347
- offset from the most stable computed form (meV/atom) = 201

a b c (Å): 3.850 3.899 4.275
angles (deg): 90.00 90.00 90.00
Fractional positions:
Ag 0.000 0.000 0.000
Pt 0.500 0.500 0.000
W 0.000 0.500 0.500
W 0.500 0.000 0.500

---

Record 21
# Ce2PrSm

Ce2PrSm after structural relaxation (GGA-PBE, the Alexandria database).

Computed properties:
- crystal system = tetragonal
- DOS(E_F) (states/eV/cell) = 10.62
- formation energy (eV/f.u.) = 0.484
- offset from the most stable computed form (meV/atom) = 3

a b c (Å): 4.968 4.968 5.158
angles (deg): 90.00 90.00 90.00
Fractional positions:
Ce 0.000 0.500 0.000
Ce 0.500 0.000 0.000
Pr 0.000 0.000 0.500
Sm 0.500 0.500 0.500

---

Record 22
# ZrMnCu2

ZrMnCu2 after structural relaxation (GGA-PBE, the Alexandria database).

Computed properties:
- crystal system = tetragonal
- DOS(E_F) (states/eV/cell) = 6.63
- formation energy (eV/f.u.) = 1.553

a b c (Å): 9.814 9.814 9.814
angles (deg): 158.54 158.54 30.53
Fractional positions:
Zr 0.000 0.000 0.000
Zr 0.750 0.250 0.500
Mn 0.250 0.750 0.500
Mn 0.500 0.500 0.000
Cu 0.154 0.625 0.029
Cu 0.375 0.404 0.529
Cu 0.596 0.125 0.971
Cu 0.875 0.846 0.471